No. 1
A plane-wave DFT calculation with PBE-GGA was carried out for a relaxed structure of La2NiHPt6.

Structure (CIF):
```
data_La2NiHPt6
_cell_length_a 7.0570
_cell_length_b 7.0570
_cell_length_c 7.0570
_cell_angle_alpha 47.55
_cell_angle_beta 47.55
_cell_angle_gamma 47.55
_symmetry_space_group_name_H-M 'P 1'
_symmetry_Int_Tables_number 1
_symmetry_space_group_name_Hall 'P 1'
loop_
_atom_site_label
_atom_site_type_symbol
_atom_site_fract_x
_atom_site_fract_y
_atom_site_fract_z
La1 La 0.2161 0.2161 0.2161
La2 La 0.7839 0.7839 0.7839
Ni1 Ni 0.5000 0.5000 0.5000
H1 H 0.0000 0.0000 0.0000
Pt1 Pt 0.2323 0.2323 0.7226
Pt2 Pt 0.2323 0.7226 0.2323
Pt3 Pt 0.2774 0.7677 0.7677
Pt4 Pt 0.7226 0.2323 0.2323
Pt5 Pt 0.7677 0.2774 0.7677
Pt6 Pt 0.7677 0.7677 0.2774
```

Crystal system: trigonal
N(E_F) in states/eV per cell: 5.37
E in eV per atom: -6.244
Calculated volume in Å³/cell: 175.1



No. 2
A plane-wave DFT calculation with PBE-GGA was carried out for a relaxed structure of La2PuNi3H12.

Structure (CIF):
```
data_La2PuNi3H12
_cell_length_a 6.1935
_cell_length_b 6.1935
_cell_length_c 6.1935
_cell_angle_alpha 60.02
_cell_angle_beta 60.02
_cell_angle_gamma 60.02
_symmetry_space_group_name_H-M 'P 1'
_symmetry_Int_Tables_number 1
_symmetry_space_group_name_Hall 'P 1'
loop_
_atom_site_label
_atom_site_type_symbol
_atom_site_fract_x
_atom_site_fract_y
_atom_site_fract_z
La1 La 0.1088 0.1088 0.1088
La2 La 0.8912 0.8912 0.8912
Pu1 Pu 0.5000 0.5000 0.5000
Ni1 Ni 0.0000 0.5000 0.5000
Ni2 Ni 0.5000 0.0000 0.5000
Ni3 Ni 0.5000 0.5000 0.0000
H1 H 0.0601 0.6321 0.6321
H2 H 0.2330 0.2330 0.6161
H3 H 0.2330 0.6161 0.2330
H4 H 0.3679 0.3679 0.9399
H5 H 0.3679 0.9399 0.3679
H6 H 0.3839 0.7670 0.7670
H7 H 0.6161 0.2330 0.2330
H8 H 0.6321 0.0601 0.6321
H9 H 0.6321 0.6321 0.0601
H10 H 0.7670 0.3839 0.7670
H11 H 0.7670 0.7670 0.3839
H12 H 0.9399 0.3679 0.3679
```

Crystal system: trigonal
N(E_F) in states/eV per cell: 9.52
E in eV per atom: -4.829
Calculated volume in Å³/cell: 168.1



No. 3
A plane-wave DFT calculation with PBE-GGA was carried out for a relaxed structure of La2NiH6Rh.

Structure (CIF):
```
data_La2NiH6Rh
_cell_length_a 5.4112
_cell_length_b 5.4112
_cell_length_c 5.4112
_cell_angle_alpha 123.39
_cell_angle_beta 123.39
_cell_angle_gamma 84.22
_symmetry_space_group_name_H-M 'P 1'
_symmetry_Int_Tables_number 1
_symmetry_space_group_name_Hall 'P 1'
loop_
_atom_site_label
_atom_site_type_symbol
_atom_site_fract_x
_atom_site_fract_y
_atom_site_fract_z
La1 La 0.2500 0.7500 0.5000
La2 La 0.7500 0.2500 0.5000
Ni1 Ni 0.0000 0.0000 0.0000
H1 H 0.2102 0.2102 0.0000
H2 H 0.2495 0.2495 0.4989
H3 H 0.2495 0.7505 0.0000
H4 H 0.7505 0.2495 0.0000
H5 H 0.7505 0.7505 0.5011
H6 H 0.7898 0.7898 0.0000
Rh1 Rh 0.5000 0.5000 0.0000
```

Crystal system: tetragonal
N(E_F) in states/eV per cell: 3.95
E in eV per atom: -4.829
Calculated volume in Å³/cell: 105.7



No. 4
A plane-wave DFT calculation with PBE-GGA was carried out for a relaxed structure of LaNi2H8Rh.

Structure (CIF):
```
data_LaNi2H8Rh
_cell_length_a 6.0450
_cell_length_b 6.0450
_cell_length_c 6.0450
_cell_angle_alpha 44.92
_cell_angle_beta 44.92
_cell_angle_gamma 44.92
_symmetry_space_group_name_H-M 'P 1'
_symmetry_Int_Tables_number 1
_symmetry_space_group_name_Hall 'P 1'
loop_
_atom_site_label
_atom_site_type_symbol
_atom_site_fract_x
_atom_site_fract_y
_atom_site_fract_z
La1 La 0.0000 0.0000 0.0000
Ni1 Ni 0.2079 0.2079 0.2079
Ni2 Ni 0.7921 0.7921 0.7921
H1 H 0.1337 0.4212 0.8058
H2 H 0.1942 0.8663 0.5788
H3 H 0.3055 0.3055 0.3055
H4 H 0.4212 0.8058 0.1337
H5 H 0.5788 0.1942 0.8663
H6 H 0.6945 0.6945 0.6945
H7 H 0.8058 0.1337 0.4212
H8 H 0.8663 0.5788 0.1942
Rh1 Rh 0.5000 0.5000 0.5000
```

Crystal system: trigonal
N(E_F) in states/eV per cell: 4.00
E in eV per atom: -4.468
Calculated volume in Å³/cell: 100.2



No. 5
A plane-wave DFT calculation with PBE-GGA was carried out for a relaxed structure of LaNiH2Rh.

Structure (CIF):
```
data_LaNiH2Rh
_cell_length_a 3.7979
_cell_length_b 3.7979
_cell_length_c 4.9632
_cell_angle_alpha 90.00
_cell_angle_beta 90.00
_cell_angle_gamma 90.00
_symmetry_space_group_name_H-M 'P 1'
_symmetry_Int_Tables_number 1
_symmetry_space_group_name_Hall 'P 1'
loop_
_atom_site_label
_atom_site_type_symbol
_atom_site_fract_x
_atom_site_fract_y
_atom_site_fract_z
La1 La 0.0000 0.0000 0.0000
Ni1 Ni 0.5000 0.5000 0.5000
H1 H 0.0000 0.5000 0.5000
H2 H 0.5000 0.0000 0.5000
Rh1 Rh 0.5000 0.5000 0.0000
```

Crystal system: tetragonal
N(E_F) in states/eV per cell: 2.67
E in eV per atom: -4.983
Calculated volume in Å³/cell: 71.6



No. 6
A plane-wave DFT calculation with PBE-GGA was carried out for a relaxed structure of LaNiH6Ru.

Structure (CIF):
```
data_LaNiH6Ru
_cell_length_a 4.6380
_cell_length_b 4.6380
_cell_length_c 4.4300
_cell_angle_alpha 90.00
_cell_angle_beta 90.00
_cell_angle_gamma 120.00
_symmetry_space_group_name_H-M 'P 1'
_symmetry_Int_Tables_number 1
_symmetry_space_group_name_Hall 'P 1'
loop_
_atom_site_label
_atom_site_type_symbol
_atom_site_fract_x
_atom_site_fract_y
_atom_site_fract_z
La1 La 0.0000 0.0000 0.0000
Ni1 Ni 0.3333 0.6667 0.5000
H1 H 0.0004 0.5002 0.2515
H2 H 0.0004 0.5002 0.7485
H3 H 0.4998 0.9996 0.2515
H4 H 0.4998 0.9996 0.7485
H5 H 0.4998 0.5002 0.2515
H6 H 0.4998 0.5002 0.7485
Ru1 Ru 0.6667 0.3333 0.5000
```

Crystal system: hexagonal
N(E_F) in states/eV per cell: 4.43
E in eV per atom: -4.761
Calculated volume in Å³/cell: 82.5



No. 7
A plane-wave DFT calculation with PBE-GGA was carried out for a relaxed structure of La2NiHRu.

Structure (CIF):
```
data_La2NiHRu
_cell_length_a 5.1122
_cell_length_b 5.1122
_cell_length_c 3.5351
_cell_angle_alpha 90.00
_cell_angle_beta 90.00
_cell_angle_gamma 90.00
_symmetry_space_group_name_H-M 'P 1'
_symmetry_Int_Tables_number 1
_symmetry_space_group_name_Hall 'P 1'
loop_
_atom_site_label
_atom_site_type_symbol
_atom_site_fract_x
_atom_site_fract_y
_atom_site_fract_z
La1 La 0.0000 0.5000 0.0000
La2 La 0.5000 0.0000 0.0000
Ni1 Ni 0.0000 0.0000 0.5000
H1 H 0.0000 0.0000 0.0000
Ru1 Ru 0.5000 0.5000 0.5000
```

Excess energy over the best structure of this formula in the dataset in eV per atom: 0.057
Crystal system: tetragonal
N(E_F) in states/eV per cell: 3.05
Calculated volume in Å³/cell: 92.4



No. 8
A plane-wave DFT calculation with PBE-GGA was carried out for a relaxed structure of LaNi2H8Ru.

Structure (CIF):
```
data_LaNi2H8Ru
_cell_length_a 6.0732
_cell_length_b 6.0732
_cell_length_c 6.0732
_cell_angle_alpha 44.42
_cell_angle_beta 44.42
_cell_angle_gamma 44.42
_symmetry_space_group_name_H-M 'P 1'
_symmetry_Int_Tables_number 1
_symmetry_space_group_name_Hall 'P 1'
loop_
_atom_site_label
_atom_site_type_symbol
_atom_site_fract_x
_atom_site_fract_y
_atom_site_fract_z
La1 La 0.0000 0.0000 0.0000
Ni1 Ni 0.2102 0.2102 0.2102
Ni2 Ni 0.7898 0.7898 0.7898
H1 H 0.1356 0.4167 0.7985
H2 H 0.2015 0.8644 0.5833
H3 H 0.3068 0.3068 0.3068
H4 H 0.4167 0.7985 0.1356
H5 H 0.5833 0.2015 0.8644
H6 H 0.6932 0.6932 0.6932
H7 H 0.7985 0.1356 0.4167
H8 H 0.8644 0.5833 0.2015
Ru1 Ru 0.5000 0.5000 0.5000
```

Crystal system: trigonal
N(E_F) in states/eV per cell: 5.53
E in eV per atom: -4.553
Calculated volume in Å³/cell: 99.7



No. 9
A plane-wave DFT calculation with PBE-GGA was carried out for a relaxed structure of La2NiHRu.

Structure (CIF):
```
data_La2NiHRu
_cell_length_a 5.1163
_cell_length_b 5.1163
_cell_length_c 3.6281
_cell_angle_alpha 90.00
_cell_angle_beta 90.00
_cell_angle_gamma 90.00
_symmetry_space_group_name_H-M 'P 1'
_symmetry_Int_Tables_number 1
_symmetry_space_group_name_Hall 'P 1'
loop_
_atom_site_label
_atom_site_type_symbol
_atom_site_fract_x
_atom_site_fract_y
_atom_site_fract_z
La1 La 0.0000 0.5000 0.0000
La2 La 0.5000 0.0000 0.0000
Ni1 Ni 0.0000 0.0000 0.5000
H1 H 0.5000 0.5000 0.0000
Ru1 Ru 0.5000 0.5000 0.5000
```

Excess energy over the best structure of this formula in the dataset in eV per atom: 0.057
Crystal system: tetragonal
N(E_F) in states/eV per cell: 4.02
Calculated volume in Å³/cell: 95.0



No. 10
A plane-wave DFT calculation with PBE-GGA was carried out for a relaxed structure of La2NiHRu.

Structure (CIF):
```
data_La2NiHRu
_cell_length_a 6.6167
_cell_length_b 3.9738
_cell_length_c 7.9450
_cell_angle_alpha 90.00
_cell_angle_beta 107.51
_cell_angle_gamma 90.00
_symmetry_space_group_name_H-M 'P 1'
_symmetry_Int_Tables_number 1
_symmetry_space_group_name_Hall 'P 1'
loop_
_atom_site_label
_atom_site_type_symbol
_atom_site_fract_x
_atom_site_fract_y
_atom_site_fract_z
La1 La 0.2256 0.2500 0.4326
La2 La 0.2462 0.2500 0.9393
La3 La 0.7538 0.7500 0.0607
La4 La 0.7744 0.7500 0.5674
Ni1 Ni 0.3947 0.7500 0.2282
Ni2 Ni 0.6053 0.2500 0.7718
H1 H 0.1464 0.7500 0.1650
H2 H 0.8536 0.2500 0.8350
Ru1 Ru 0.3352 0.7500 0.7138
Ru2 Ru 0.6648 0.2500 0.2862
```

Excess energy over the best structure of this formula in the dataset in eV per atom: 0.000
Crystal system: monoclinic
N(E_F) in states/eV per cell: 5.80
Calculated volume in Å³/cell: 199.2